First-principles (PBE-GGA) data for a relaxed structure of Ti2NbAuBr, as listed in the Alexandria database.

Geometry as POSCAR:
```
Ti2NbAuBr
1.0
4.6209 0.0000 0.0000
0.0000 4.7794 0.0000
0.0000 0.0000 4.6209
Au Nb Ti Br
1 1 2 1
Cartesian
2.3105 2.3897 2.3105 Au
0.0000 2.3897 0.0000 Nb
0.0000 0.0000 2.3105 Ti
2.3105 0.0000 0.0000 Ti
0.0000 0.0000 0.0000 Br
```

## Properties
As for the density: 7.574 g/cm3. The calculation puts the magnetic moment at 2.75 μB/f.u. As for the uncorrected formation energy: 658.8 meV/atom. For the total energy, the calculation gives -5.503 eV per atom.